CrHgO3 | PBE with a Hubbard U | optimized geometry

Properties
Uncorrected energy (eV per atom): -5.04
M_tot (μB per cell): 0.0

CIF file:
```
data_CrHgO3
_chemical_formula_sum 'Cr1 Hg1 O3'
_space_group_name_H-M_alt 'P m -3 m'
_space_group_IT_number 221
_space_group_name_Hall '-P 4 2 3'
_cell_length_a 3.7797
_cell_length_b 3.7797
_cell_length_c 3.7797
_cell_angle_alpha 90.00
_cell_angle_beta 90.00
_cell_angle_gamma 90.00
loop_
_atom_site_label
_atom_site_fract_x
_atom_site_fract_y
_atom_site_fract_z
Cr1 0.0000 0.0000 0.0000
Hg1 0.5000 0.5000 0.5000
O1 0.0000 0.0000 0.5000
```